Density functional theory data (GGA-PBE) for SrCd3Ir after structural relaxation.

a b c (Å): 5.224 5.224 5.224
angles (deg): 90.00 90.00 90.00
Fractional positions:
Cd  0.000  0.000  0.500
Ir  0.000  0.000  0.000
Cd  0.000  0.500  0.000
Cd  0.500  0.000  0.000
Sr  0.500  0.500  0.500

crystal system	cubic
N(E_F)	0.54	states/eV/atom
ΔE to the lowest computed polymorph	0.000	eV per atom
symmetry	Pm-3m
E_form	-0.0910	eV per atom